Record 1
SmTm4Th2 | PBE | relaxed

Computed properties:
V in Å³ per cell: 506.0
Magnetization in μB per formula unit: 0.00
DOS(E_F) in states/eV per cell: 23.23

Cell and atoms, written as CIF:
```
data_SmTm4Th2
_cell_length_a 5.516
_cell_length_b 5.516
_cell_length_c 16.632
_cell_angle_alpha 90.00
_cell_angle_beta 90.00
_cell_angle_gamma 90.00
_symmetry_space_group_name_H-M 'I 4/m m m'
_symmetry_Int_Tables_number 139
_symmetry_space_group_name_Hall '-I 4 2'
loop_
_atom_site_label
_atom_site_type_symbol
_atom_site_fract_x
_atom_site_fract_y
_atom_site_fract_z
Sm1 Sm 0.000 0.000 0.000
Tm1 Tm 0.000 0.000 0.179
Tm2 Tm 0.000 0.500 0.000
Th1 Th 0.000 0.000 0.385
```



Record 2
Sm2TmTh | PBE | relaxed

Computed properties:
V in Å³ per cell: 524.2
Magnetization in μB per formula unit: 0.01
DOS(E_F) in states/eV per cell: 42.53

Cell and atoms, written as CIF:
```
data_Sm2TmTh
_cell_length_a 8.063
_cell_length_b 8.063
_cell_length_c 8.063
_cell_angle_alpha 90.00
_cell_angle_beta 90.00
_cell_angle_gamma 90.00
_symmetry_space_group_name_H-M 'F m -3 m'
_symmetry_Int_Tables_number 225
_symmetry_space_group_name_Hall '-F 4 2 3'
loop_
_atom_site_label
_atom_site_type_symbol
_atom_site_fract_x
_atom_site_fract_y
_atom_site_fract_z
Sm1 Sm 0.250 0.250 0.250
Tm1 Tm 0.000 0.000 0.000
Th1 Th 0.000 0.000 0.500
```



Record 3
SmTmTh2 | PBE | relaxed

Computed properties:
V in Å³ per cell: 257.7
Magnetization in μB per formula unit: 0.00
DOS(E_F) in states/eV per cell: 13.42

Cell and atoms, written as CIF:
```
data_SmTmTh2
_cell_length_a 5.039
_cell_length_b 5.063
_cell_length_c 10.102
_cell_angle_alpha 90.00
_cell_angle_beta 90.08
_cell_angle_gamma 90.00
_symmetry_space_group_name_H-M 'P 1 21/m 1'
_symmetry_Int_Tables_number 11
loop_
_symmetry_equiv_pos_as_xyz
'x,y,z'
'-x,-y,-z'
'-x,y+1/2,-z'
'x,-y+1/2,z'
loop_
_atom_site_label
_atom_site_type_symbol
_atom_site_fract_x
_atom_site_fract_y
_atom_site_fract_z
Sm1 Sm 0.000 0.250 0.130
Tm1 Tm 0.500 0.250 0.870
Th1 Th 0.000 0.250 0.623
Th2 Th 0.500 0.250 0.378
```



Record 4
Sm4Tm7Th | PBE | relaxed

Computed properties:
V in Å³ per cell: 376.7
Magnetization in μB per formula unit: 0.00
DOS(E_F) in states/eV per cell: 15.82

Cell and atoms, written as CIF:
```
data_Sm4Tm7Th
_cell_length_a 7.065
_cell_length_b 7.912
_cell_length_c 7.919
_cell_angle_alpha 95.89
_cell_angle_beta 102.49
_cell_angle_gamma 116.47
_symmetry_space_group_name_H-M 'P -1'
_symmetry_Int_Tables_number 2
loop_
_symmetry_equiv_pos_as_xyz
'x,y,z'
'-x,-y,-z'
loop_
_atom_site_label
_atom_site_type_symbol
_atom_site_fract_x
_atom_site_fract_y
_atom_site_fract_z
Sm1 Sm 0.005 0.169 0.169
Sm2 Sm 0.255 0.667 0.171
Tm1 Tm 0.000 0.500 0.500
Tm2 Tm 0.252 0.004 0.499
Tm3 Tm 0.254 0.336 0.829
Tm4 Tm 0.499 0.830 0.830
Th1 Th 0.500 0.500 0.500
```



Record 5
Sm3Tm7Th | PBE | relaxed

Computed properties:
V in Å³ per cell: 365.0
Magnetization in μB per formula unit: 0.00
DOS(E_F) in states/eV per cell: 16.67

Cell and atoms, written as CIF:
```
data_Sm3Tm7Th
_cell_length_a 6.9817
_cell_length_b 6.9817
_cell_length_c 8.6472
_cell_angle_alpha 90.00
_cell_angle_beta 90.00
_cell_angle_gamma 120.00
_symmetry_space_group_name_H-M 'P 3 m 1'
_symmetry_Int_Tables_number 156
loop_
_symmetry_equiv_pos_as_xyz
'x,y,z'
'-y,x-y,z'
'-x+y,-x,z'
'-y,-x,z'
'-x+y,y,z'
'x,x-y,z'
loop_
_atom_site_label
_atom_site_type_symbol
_atom_site_fract_x
_atom_site_fract_y
_atom_site_fract_z
Sm1 Sm 0.0031 0.5016 0.0000
Tm1 Tm 0.1685 0.3371 0.3405
Tm2 Tm 0.3343 0.1672 0.6634
Tm3 Tm 0.6667 0.3333 0.3382
Th1 Th 0.3333 0.6667 0.6632
```



Record 6
SmTmTh | PBE | relaxed

Computed properties:
V in Å³ per cell: 578.3
Magnetization in μB per formula unit: 0.00
DOS(E_F) in states/eV per cell: 27.40

Cell and atoms, written as CIF:
```
data_SmTmTh
_cell_length_a 3.5784
_cell_length_b 3.5784
_cell_length_c 52.1559
_cell_angle_alpha 90.00
_cell_angle_beta 90.00
_cell_angle_gamma 120.00
_symmetry_space_group_name_H-M 'R -3 m'
_symmetry_Int_Tables_number 166
_symmetry_space_group_name_Hall '-R 3 2"'
loop_
_atom_site_label
_atom_site_type_symbol
_atom_site_fract_x
_atom_site_fract_y
_atom_site_fract_z
Sm1 Sm 0.0000 0.0000 0.1953
Tm1 Tm 0.0000 0.0000 0.0822
Th1 Th 0.0000 0.0000 0.3607
```



Sequential formation energy from the elements output: 0.81 0.20 0.03 0.02 0.18 0.03 eV per atom